Cu4PtO5 | GGA-PBE | optimized geometry

Structure (CIF):
```
data_Cu4PtO5
_chemical_formula_sum 'Cu8 Pt2 O10'
_cell_length_a 4.249
_cell_length_b 5.189
_cell_length_c 10.704
_cell_angle_alpha 90.00
_cell_angle_beta 100.15
_cell_angle_gamma 90.00
_symmetry_space_group_name_H-M 'P 1 2/m 1'
_symmetry_Int_Tables_number 10
_symmetry_space_group_name_Hall '-P 2y'
loop_
_atom_site_label
_atom_site_type_symbol
_atom_site_fract_x
_atom_site_fract_y
_atom_site_fract_z
Cu1 Cu 0.000 0.000 0.000
Cu2 Cu 0.075 0.500 0.200
Cu3 Cu 0.205 0.000 0.397
Cu4 Cu 0.405 0.000 0.808
Cu5 Cu 0.500 0.500 0.000
Pt1 Pt 0.306 0.500 0.606
O1 O 0.000 0.244 0.500
O2 O 0.206 0.249 0.905
O3 O 0.389 0.247 0.291
```

Calculated values
Relative energy among the computed polymorphs = 8 meV/atom
Crystal system = monoclinic
Energy relative to the elements, uncorrected = -0.548 eV/atom
Total DFT energy (no corrections) = -105.4 eV for the cell shown

Cu3PtO6 | GGA-PBE | optimized geometry

Structure (CIF):
```
data_Cu3PtO6
_chemical_formula_sum 'Cu9 Pt3 O18'
_cell_length_a 5.1150
_cell_length_b 5.1150
_cell_length_c 13.7452
_cell_angle_alpha 90.00
_cell_angle_beta 90.00
_cell_angle_gamma 120.00
_symmetry_space_group_name_H-M 'R 3'
_symmetry_Int_Tables_number 146
_symmetry_space_group_name_Hall 'R 3'
loop_
_atom_site_label
_atom_site_type_symbol
_atom_site_fract_x
_atom_site_fract_y
_atom_site_fract_z
Cu1 Cu 0.0000 0.0000 0.0000
Cu2 Cu 0.0000 0.0000 0.2019
Cu3 Cu 0.0000 0.0000 0.7108
Pt1 Pt 0.0000 0.0000 0.5111
O1 O 0.0013 0.3067 0.1076
O2 O 0.0332 0.6764 0.2729
```

Calculated values
Relative energy among the computed polymorphs = 0 meV/atom
Crystal system = trigonal
Energy relative to the elements, uncorrected = -0.431 eV/atom
Total DFT energy (no corrections) = -157.2 eV for the cell shown

CuPt3O | GGA-PBE | optimized geometry

Structure (CIF):
```
data_CuPt3O
_chemical_formula_sum 'Cu1 Pt3 O1'
_cell_length_a 4.208
_cell_length_b 4.208
_cell_length_c 4.208
_cell_angle_alpha 90.00
_cell_angle_beta 90.00
_cell_angle_gamma 90.00
_symmetry_space_group_name_H-M 'P m -3 m'
_symmetry_Int_Tables_number 221
_symmetry_space_group_name_Hall '-P 4 2 3'
loop_
_atom_site_label
_atom_site_type_symbol
_atom_site_fract_x
_atom_site_fract_y
_atom_site_fract_z
Cu1 Cu 0.000 0.000 0.000
Pt1 Pt 0.000 0.500 0.500
O1 O 0.500 0.500 0.500
```

Calculated values
Relative energy among the computed polymorphs = 0 meV/atom
Crystal system = cubic
Energy relative to the elements, uncorrected = 0.551 eV/atom
Total DFT energy (no corrections) = -24.4 eV for the cell shown

PuCu2PtO8 | GGA-PBE | optimized geometry

Structure (CIF):
```
data_PuCu2PtO8
_chemical_formula_sum 'Pu2 Cu4 Pt2 O16'
_cell_length_a 6.438
_cell_length_b 6.438
_cell_length_c 7.134
_cell_angle_alpha 90.00
_cell_angle_beta 90.00
_cell_angle_gamma 90.00
_symmetry_space_group_name_H-M 'I -4 m 2'
_symmetry_Int_Tables_number 119
_symmetry_space_group_name_Hall 'I -4 -2'
loop_
_atom_site_label
_atom_site_type_symbol
_atom_site_fract_x
_atom_site_fract_y
_atom_site_fract_z
Pu1 Pu 0.000 0.000 0.000
Cu1 Cu 0.000 0.000 0.500
Cu2 Cu 0.000 0.500 0.250
Pt1 Pt 0.000 0.500 0.750
O1 O 0.000 0.196 0.714
O2 O 0.000 0.296 0.060
```

Calculated values
Crystal system = tetragonal
Energy relative to the elements, uncorrected = -0.812 eV/atom
Total DFT energy (no corrections) = -156.0 eV for the cell shown

Number 2 is which compound? Cu3PtO6

What is the total DFT energy (no corrections) in the second record? -157.2 eV for the cell shown